## 1
DFT (PBE with a Hubbard U) results for a relaxed structure of HfNiIO2.

```
data_HfNiIO2
_cell_length_a 4.0597
_cell_length_b 4.0597
_cell_length_c 4.7949
_cell_angle_alpha 90.00
_cell_angle_beta 90.00
_cell_angle_gamma 90.00
_symmetry_space_group_name_H-M 'P 4/m m m'
_symmetry_Int_Tables_number 123
_symmetry_space_group_name_Hall '-P 4 2'
loop_
_atom_site_label
_atom_site_fract_x
_atom_site_fract_y
_atom_site_fract_z
Hf1 0.0000 0.0000 0.0000
Ni1 0.5000 0.5000 0.5000
I1 0.5000 0.5000 0.0000
O1 0.0000 0.5000 0.5000
```

Values from the calculation:
Fermi-level density of states, states/eV per cell: 2.14
Magnetization, μB/cell: 1.4

## 2
DFT (PBE with a Hubbard U) results for a relaxed structure of HfNiIO2.

```
data_HfNiIO2
_cell_length_a 4.0089
_cell_length_b 4.0089
_cell_length_c 6.1928
_cell_angle_alpha 90.00
_cell_angle_beta 90.00
_cell_angle_gamma 90.00
_symmetry_space_group_name_H-M 'P 4/m m m'
_symmetry_Int_Tables_number 123
_symmetry_space_group_name_Hall '-P 4 2'
loop_
_atom_site_label
_atom_site_fract_x
_atom_site_fract_y
_atom_site_fract_z
Hf1 0.0000 0.0000 0.0000
Ni1 0.5000 0.5000 0.5000
I1 0.0000 0.0000 0.5000
O1 0.0000 0.5000 0.0000
```

Values from the calculation:
Fermi-level density of states, states/eV per cell: 0.92
Magnetization, μB/cell: 1.1

Which of them is most stable, and which least? Most stable: 2; least stable: 1.

## 1
DFT (PBE with a Hubbard U) results for a relaxed structure of HfNiI2O.

```
data_HfNiI2O
_cell_length_a 5.7386
_cell_length_b 5.7386
_cell_length_c 3.9307
_cell_angle_alpha 90.00
_cell_angle_beta 90.00
_cell_angle_gamma 90.00
_symmetry_space_group_name_H-M 'P 4/m m m'
_symmetry_Int_Tables_number 123
_symmetry_space_group_name_Hall '-P 4 2'
loop_
_atom_site_label
_atom_site_fract_x
_atom_site_fract_y
_atom_site_fract_z
Hf1 0.0000 0.0000 0.0000
Ni1 0.5000 0.5000 0.5000
I1 0.0000 0.5000 0.0000
O1 0.0000 0.0000 0.5000
```

Values from the calculation:
Fermi-level density of states, states/eV per cell: 8.10
Magnetization, μB/cell: 0.1

## 2
DFT (PBE with a Hubbard U) results for a relaxed structure of HfNiI2O.

```
data_HfNiI2O
_cell_length_a 5.5753
_cell_length_b 5.5753
_cell_length_c 3.5436
_cell_angle_alpha 90.00
_cell_angle_beta 90.00
_cell_angle_gamma 90.00
_symmetry_space_group_name_H-M 'P 4/m m m'
_symmetry_Int_Tables_number 123
_symmetry_space_group_name_Hall '-P 4 2'
loop_
_atom_site_label
_atom_site_fract_x
_atom_site_fract_y
_atom_site_fract_z
Hf1 0.0000 0.0000 0.0000
Ni1 0.5000 0.5000 0.5000
I1 0.0000 0.5000 0.5000
O1 0.5000 0.5000 0.0000
```

Values from the calculation:
Fermi-level density of states, states/eV per cell: 3.36
Magnetization, μB/cell: 2.2

Which of them is most stable, and which least? Most stable: 1; least stable: 2.